Th2Si6Rh9, optimized geometry, DFT PBE-GGA; E_tot = -0.277 hartree per atom; magnetization = 0.0 Bohr magnetons per cell; DOS(E_F) = 9.228 states/eV per cell
1.0
5.6029 0.0000 0.0000
-2.8015 4.8523 0.0000
0.0000 0.0000 10.8496
Th Si Rh
2 6 9
Direct
0.0000 0.0000 0.1983
0.0000 0.0000 0.8017
0.3333 0.6667 0.1654
0.3333 0.6667 0.5000
0.3333 0.6667 0.8346
0.6667 0.3333 0.1654
0.6667 0.3333 0.5000
0.6667 0.3333 0.8346
0.0000 0.5000 0.0000
0.0000 0.5000 0.3328
0.0000 0.5000 0.6672
0.5000 0.0000 0.0000
0.5000 0.0000 0.3328
0.5000 0.0000 0.6672
0.5000 0.5000 0.0000
0.5000 0.5000 0.3328
0.5000 0.5000 0.6672

La4NiHg3, optimized geometry, DFT PBE-GGA; magnetization = 0.4 Bohr magnetons per cell; DOS(E_F) = 8.514 states/eV per cell; energy relative to the elements = -0.424 eV/atom
1.0
3.7813 0.0000 0.0000
0.0000 3.7813 0.0000
0.0000 0.0000 15.7058
La Ni Hg
4 1 3
Direct
0.0000 0.0000 0.1032
0.0000 0.0000 0.3688
0.0000 0.0000 0.6312
0.0000 0.0000 0.8968
0.5000 0.5000 0.0000
0.5000 0.5000 0.2399
0.5000 0.5000 0.5000
0.5000 0.5000 0.7601

ZnPtN2, optimized geometry, DFT PBE-GGA; E_tot = -0.200 hartree per atom; magnetization = 0.0 Bohr magnetons per cell; DOS(E_F) = 0.000 states/eV per cell
1.0
1.6136 0.9316 5.6805
-1.6136 0.9316 5.6805
0.0000 -1.8632 5.6805
Zn Pt N
1 1 2
Direct
0.0000 0.0000 0.0000
0.5000 0.5000 0.5000
0.1094 0.1094 0.1094
0.8906 0.8906 0.8906

CaPuRhAu, optimized geometry, DFT PBE-GGA; magnetization = 5.5 Bohr magnetons per cell; DOS(E_F) = 13.740 states/eV per cell; energy relative to the elements = -0.422 eV/atom
1.0
0.0000 3.5372 3.5372
3.5372 0.0000 3.5372
3.5372 3.5372 0.0000
Ca Pu Rh Au
1 1 1 1
Direct
0.0000 0.0000 0.0000
0.5000 0.5000 0.5000
0.2500 0.2500 0.2500
0.7500 0.7500 0.7500

Mg2ReW, optimized geometry, DFT PBE-GGA; excess energy over the best structure of this formula in the dataset = 66 kJ/mol of formula units; magnetization = 0.0 Bohr magnetons per cell; DOS(E_F) = 2.398 states/eV per cell; energy relative to the elements = 0.351 eV/atom
1.0
2.7003 -4.6842 0.0000
2.7003 4.6842 0.0000
-0.6780 0.0000 2.6112
Mg Re W
2 1 1
Direct
0.0000 0.5000 0.0000
0.5000 0.0000 0.0000
0.0000 0.0000 0.5000
0.5000 0.5000 0.5000

ScHg2Se, optimized geometry, DFT PBE-GGA; E_tot = -0.119 hartree per atom; magnetization = 0.0 Bohr magnetons per cell; DOS(E_F) = 2.818 states/eV per cell
1.0
3.5175 0.0000 0.0000
0.0000 3.5175 0.0000
0.0000 0.0000 7.9262
Sc Hg Se
1 2 1
Direct
0.0000 0.0000 0.0000
0.0000 0.0000 0.4407
0.5000 0.5000 0.7224
0.5000 0.5000 0.1308

BeRe3, optimized geometry, DFT PBE-GGA; excess energy over the best structure of this formula in the dataset = 51 kJ/mol of formula units; magnetization = 0.0 Bohr magnetons per cell; DOS(E_F) = 4.154 states/eV per cell; energy relative to the elements = 0.071 eV/atom
1.0
2.6307 -4.8195 0.0000
2.6307 4.8195 0.0000
0.0000 0.0000 4.3868
Be Re
2 6
Direct
0.0753 0.9247 0.7500
0.9247 0.0753 0.2500
0.0643 0.3975 0.7500
0.3975 0.0643 0.2500
0.4207 0.5793 0.2500
0.5793 0.4207 0.7500
0.6025 0.9357 0.7500
0.9357 0.6025 0.2500

Ta2HgPb, optimized geometry, DFT PBE-GGA; excess energy over the best structure of this formula in the dataset = 82 kJ/mol of formula units; magnetization = 0.0 Bohr magnetons per cell; DOS(E_F) = 1.960 states/eV per cell; energy relative to the elements = 0.535 eV/atom
1.0
3.0102 0.0000 0.0000
0.0000 4.7886 0.0000
-1.0534 0.0000 5.7192
Ta Hg Pb
2 1 1
Direct
0.2256 0.0000 0.2406
0.7744 0.0000 0.7594
0.5000 0.5000 0.0000
0.0000 0.5000 0.5000

BaSrCd2Rh, optimized geometry, DFT PBE-GGA; excess energy over the best structure of this formula in the dataset = 46 kJ/mol of formula units; magnetization = 0.0 Bohr magnetons per cell; DOS(E_F) = 4.800 states/eV per cell; energy relative to the elements = -0.103 eV/atom
1.0
5.4625 0.0000 0.0000
0.0000 5.4625 0.0000
0.0000 0.0000 5.5247
Ba Sr Cd Rh
1 1 2 1
Direct
0.0000 0.0000 0.0000
0.5000 0.5000 0.0000
0.0000 0.5000 0.5000
0.5000 0.0000 0.5000
0.0000 0.0000 0.5000

TaPdS2N, optimized geometry, DFT PBE-GGA; excess energy over the best structure of this formula in the dataset = 429 kJ/mol of formula units; magnetization = 0.0 Bohr magnetons per cell; DOS(E_F) = 5.406 states/eV per cell
1.0
4.7603 0.0000 0.0000
0.0000 4.7603 0.0000
0.0000 0.0000 3.6680
Ta Pd S N
1 1 2 1
Direct
0.0000 0.0000 0.0000
0.5000 0.5000 0.5000
0.0000 0.5000 0.5000
0.5000 0.0000 0.5000
0.5000 0.5000 0.0000

CaMg3In4, optimized geometry, DFT PBE-GGA; magnetization = 0.0 Bohr magnetons per cell; DOS(E_F) = 5.759 states/eV per cell; energy relative to the elements = -0.193 eV/atom
1.0
10.2079 0.0000 0.0000
0.0000 7.5818 0.0000
0.0000 0.0000 5.1041
Ca Mg In
2 6 8
Direct
0.0000 0.0000 0.0000
0.5000 0.0000 0.0000
0.0000 0.5000 0.0000
0.2500 0.0000 0.4960
0.2500 0.5000 0.4942
0.5000 0.5000 0.0000
0.7500 0.0000 0.5040
0.7500 0.5000 0.5058
0.0000 0.2667 0.5000
0.0000 0.7333 0.5000
0.2500 0.2667 0.9956
0.2500 0.7333 0.9956
0.5000 0.2667 0.5000
0.5000 0.7333 0.5000
0.7500 0.2667 0.0044
0.7500 0.7333 0.0044

Co2HgRu, optimized geometry, DFT PBE-GGA; magnetization = 3.4 Bohr magnetons per cell; DOS(E_F) = 4.870 states/eV per cell; energy relative to the elements = 0.456 eV/atom
1.0
1.3798 0.7966 8.7628
-1.3798 0.7966 8.7628
0.0000 -1.5933 8.7628
Co Hg Ru
2 1 1
Direct
0.0000 0.0000 0.0000
0.2630 0.2630 0.2630
0.5057 0.5057 0.5057
0.7423 0.7423 0.7423

SmPu5Te6, optimized geometry, DFT PBE-GGA; E_tot = -0.334 hartree per atom; magnetization = 29.5 Bohr magnetons per cell; DOS(E_F) = 55.414 states/eV per cell
1.0
3.8425 -6.6532 0.0000
3.8425 6.6532 0.0000
-2.5597 0.0000 7.2511
Sm Pu Te
1 5 6
Direct
0.0000 0.0000 0.0000
0.1658 0.8342 0.5000
0.3332 0.6668 0.0000
0.5000 0.5000 0.5000
0.6668 0.3332 0.0000
0.8342 0.1658 0.5000
0.0837 0.4185 0.2509
0.2515 0.2515 0.7495
0.4185 0.0837 0.2509
0.5815 0.9163 0.7491
0.7485 0.7485 0.2505
0.9163 0.5815 0.7491

Ba2MnSb, optimized geometry, DFT PBE-GGA; E_tot = -0.169 hartree per atom; magnetization = 4.1 Bohr magnetons per cell; DOS(E_F) = 2.385 states/eV per cell
1.0
4.6947 0.0000 0.0000
0.0000 2.4946 6.5766
0.0000 -2.4946 6.5766
Ba Mn Sb
2 1 1
Direct
0.0000 0.0000 0.0000
0.5000 0.2840 0.2840
0.0000 0.7002 0.7002
0.5000 0.5784 0.5784

Sr4Tm, optimized geometry, DFT PBE-GGA; magnetization = 2.7 Bohr magnetons per cell; DOS(E_F) = 5.087 states/eV per cell; energy relative to the elements = 0.555 eV/atom
1.0
6.6154 0.0000 0.0000
0.0000 6.6154 0.0000
0.0000 0.0000 6.6154
Sr Tm
4 1
Direct
0.0000 0.0000 0.0000
0.0000 0.5000 0.5000
0.5000 0.0000 0.5000
0.5000 0.5000 0.0000
0.5000 0.5000 0.5000

Ca3Tb2ScSe6, optimized geometry, DFT PBE-GGA; E_tot = -0.198 hartree per atom; magnetization = 0.0 Bohr magnetons per cell; DOS(E_F) = 4.909 states/eV per cell
1.0
3.5350 -6.1161 0.0000
3.5350 6.1161 0.0000
-2.3623 0.0000 6.7950
Ca Tb Sc Se
3 2 1 6
Direct
0.0000 0.0000 0.0000
0.3307 0.6693 0.0000
0.6693 0.3307 0.0000
0.1662 0.8338 0.5000
0.8338 0.1662 0.5000
0.5000 0.5000 0.5000
0.0950 0.4197 0.2584
0.2567 0.2567 0.7433
0.4197 0.0950 0.2584
0.5803 0.9050 0.7416
0.7433 0.7433 0.2567
0.9050 0.5803 0.7416

LiAlGe2, optimized geometry, DFT PBE-GGA; excess energy over the best structure of this formula in the dataset = 20 kJ/mol of formula units; magnetization = 0.0 Bohr magnetons per cell; DOS(E_F) = 2.282 states/eV per cell; energy relative to the elements = -0.021 eV/atom
1.0
0.0000 3.2567 3.2567
3.2567 0.0000 3.2567
3.2567 3.2567 0.0000
Li Al Ge
1 1 2
Direct
0.0000 0.0000 0.0000
0.5000 0.5000 0.5000
0.2500 0.2500 0.2500
0.7500 0.7500 0.7500

Ho4Te3Se, optimized geometry, DFT PBE-GGA; E_tot = -0.194 hartree per atom; magnetization = 0.0 Bohr magnetons per cell; DOS(E_F) = 3.520 states/eV per cell
1.0
2.1275 1.2283 14.0686
-2.1275 1.2283 14.0686
0.0000 -2.4566 14.0686
Ho Te Se
4 3 1
Direct
0.1254 0.1254 0.1254
0.3674 0.3674 0.3674
0.6326 0.6326 0.6326
0.8746 0.8746 0.8746
0.2530 0.2530 0.2530
0.5000 0.5000 0.5000
0.7470 0.7470 0.7470
0.0000 0.0000 0.0000

DyYGaAu, optimized geometry, DFT PBE-GGA; excess energy over the best structure of this formula in the dataset = 0 kJ/mol of formula units; magnetization = 0.0 Bohr magnetons per cell; DOS(E_F) = 3.571 states/eV per cell; energy relative to the elements = -0.732 eV/atom
1.0
4.5308 0.0000 0.0000
0.0000 1.9040 5.5710
0.0000 -1.9040 5.5710
Dy Y Ga Au
1 1 1 1
Direct
0.0000 0.0000 0.0000
0.5000 0.7123 0.7123
0.5000 0.4381 0.4381
0.0000 0.2773 0.2773

LiTl2Cu3F12, optimized geometry, DFT PBE-GGA; E_tot = -0.146 hartree per atom; magnetization = 0.0 Bohr magnetons per cell; DOS(E_F) = 7.902 states/eV per cell
1.0
3.6931 2.1322 5.5953
-3.6931 2.1322 5.5953
0.0000 -4.2644 5.5953
Li Tl Cu F
1 2 3 12
Direct
0.0000 0.0000 0.0000
0.3671 0.3671 0.3671
0.6329 0.6329 0.6329
0.0000 0.0000 0.5000
0.0000 0.5000 0.0000
0.5000 0.0000 0.0000
0.0716 0.6904 0.6904
0.0845 0.0845 0.6549
0.0845 0.6549 0.0845
0.3096 0.3096 0.9284
0.3096 0.9284 0.3096
0.3451 0.9155 0.9155
0.6549 0.0845 0.0845
0.6904 0.0716 0.6904
0.6904 0.6904 0.0716
0.9155 0.3451 0.9155
0.9155 0.9155 0.3451
0.9284 0.3096 0.3096

LiTaO2, optimized geometry, DFT PBE-GGA; E_tot = -0.282 hartree per atom; magnetization = 0.0 Bohr magnetons per cell; DOS(E_F) = 5.706 states/eV per cell
1.0
-2.3552 2.3552 4.4329
2.3552 -2.3552 4.4329
2.3552 2.3552 -4.4329
Li Ta O
2 2 4
Direct
0.0000 0.0000 0.0000
0.7500 0.2500 0.5000
0.2500 0.7500 0.5000
0.5000 0.5000 0.0000
0.1188 0.6250 0.9938
0.3750 0.3688 0.4938
0.6312 0.1250 0.0062
0.8750 0.8812 0.5062

Pr3Sm4Tm2, optimized geometry, DFT PBE-GGA; excess energy over the best structure of this formula in the dataset = 0 kJ/mol of formula units; magnetization = 0.0 Bohr magnetons per cell; DOS(E_F) = 12.594 states/eV per cell; energy relative to the elements = 0.018 eV/atom
1.0
6.2665 0.0000 0.0000
-3.1307 5.4393 0.0000
-0.0335 -3.5918 8.8985
Pr Sm Tm
3 4 2
Direct
0.0000 0.0000 0.0000
0.1122 0.5565 0.3347
0.8878 0.4435 0.6653
0.2239 0.1133 0.6661
0.3355 0.6696 0.0000
0.6645 0.3304 0.0000
0.7761 0.8867 0.3339
0.4453 0.2241 0.3349
0.5547 0.7759 0.6651